NaNi2HgF8 PBE+U relaxed; E = -44.70 eV/cell; magnetization = 2.97 μB/f.u.
1.0
5.002 0.000 0.000
0.141 5.059 0.000
0.016 0.015 6.394
Na Ni Hg F
1 2 1 8
direct
0.000 0.000 0.000 Na
0.500 0.500 0.244 Ni
0.500 0.500 0.756 Ni
0.000 0.000 0.500 Hg
0.225 0.785 0.255 F
0.225 0.785 0.745 F
0.318 0.328 0.001 F
0.320 0.330 0.501 F
0.680 0.670 0.499 F
0.682 0.672 0.999 F
0.775 0.215 0.255 F
0.775 0.215 0.745 F